VASP calculation (PBE+U) on Dy2FeSnO6 after structural relaxation.

Properties
The total energy is -7.40 eV/atom.

Cell: 5.598 5.616 5.815 Å, 117.99 90.98 119.55°
Space group P1 (No. 1)
Inequivalent atoms, fractional coordinates:
Dy: 0.000 0.000 0.000 [1 per cell]
Dy: 0.498 0.995 0.496 [1 per cell]
Fe: 0.278 0.554 0.838 [1 per cell]
Sn: 0.784 0.566 0.354 [1 per cell]
O: 0.064 0.484 0.156 [1 per cell]
O: 0.154 0.055 0.643 [1 per cell]
O: 0.425 0.089 0.155 [1 per cell]
O: 0.584 0.733 0.644 [1 per cell]
O: 0.658 0.724 0.147 [1 per cell]
O: 0.911 0.485 0.651 [1 per cell]